(1)
A relaxed structure of Zn2CdSiAu, computed with GGA-PBE.

Unit cell a=4.8932 b=4.8932 c=5.1839 alpha=90.00 beta=90.00 gamma=90.00
Positions (direct):
Zn: 0.0000 0.5000 0.0000
Zn: 0.5000 0.0000 0.0000
Cd: 0.0000 0.0000 0.0000
Si: 0.5000 0.5000 0.5000
Au: 0.0000 0.0000 0.5000

Output
Uncorrected formation energy in eV per atom: 0.882
Symmetry: P4/mmm
Crystal system: tetragonal
D(E_F) in states/eV/f.u.: 2.6
Polymorph energy (0 for the lowest one) in eV per atom: 0.058

***

(2)
A relaxed structure of ZrCd2SiAu, computed with GGA-PBE.

Unit cell a=5.6377 b=5.6377 c=5.0067 alpha=90.00 beta=90.00 gamma=90.00
Positions (direct):
Zr: 0.0000 0.0000 0.0000
Cd: 0.0000 0.5000 0.0000
Cd: 0.5000 0.0000 0.0000
Si: 0.0000 0.0000 0.5000
Au: 0.5000 0.5000 0.5000

Output
Uncorrected formation energy in eV per atom: 1.021
Symmetry: P4/mmm
Crystal system: tetragonal
D(E_F) in states/eV/f.u.: 6.3

***

(3)
A relaxed structure of SmCd3Au, computed with GGA-PBE.

Unit cell a=9.2600 b=4.3766 c=11.9124 alpha=90.00 beta=90.00 gamma=90.00
Positions (direct):
Sm: 0.1889 0.2500 0.0056
Sm: 0.3111 0.7500 0.5056
Sm: 0.6889 0.2500 0.4944
Sm: 0.8111 0.7500 0.9944
Cd: 0.0654 0.2500 0.3991
Cd: 0.0802 0.7500 0.2022
Cd: 0.1441 0.7500 0.8005
Cd: 0.3559 0.2500 0.3005
Cd: 0.4198 0.2500 0.7022
Cd: 0.4346 0.7500 0.8991
Cd: 0.5654 0.2500 0.1009
Cd: 0.5802 0.7500 0.2978
Cd: 0.6441 0.7500 0.6995
Cd: 0.8559 0.2500 0.1995
Cd: 0.9198 0.2500 0.7978
Cd: 0.9346 0.7500 0.6009
Au: 0.1374 0.2500 0.6287
Au: 0.3626 0.7500 0.1287
Au: 0.6374 0.2500 0.8713
Au: 0.8626 0.7500 0.3713

Output
Symmetry: Pnma
E_form in meV/atom: -327
Crystal system: orthorhombic
D(E_F) in states/eV/f.u.: 3.3
Polymorph energy (0 for the lowest one) in eV per atom: 0.041

***

(4)
A relaxed structure of Sm3Cd2Au7, computed with GGA-PBE.

Unit cell a=12.7382 b=12.7382 c=4.6987 alpha=90.00 beta=90.00 gamma=158.10
Positions (direct):
Sm: 0.0000 0.0000 0.0000
Sm: 0.1582 0.8418 0.0000
Sm: 0.8418 0.1582 0.0000
Cd: 0.3486 0.6514 0.5000
Cd: 0.6514 0.3486 0.5000
Au: 0.0776 0.9224 0.5000
Au: 0.2267 0.7733 0.5000
Au: 0.4176 0.5824 0.0000
Au: 0.5000 0.5000 0.5000
Au: 0.5824 0.4176 0.0000
Au: 0.7733 0.2267 0.5000
Au: 0.9224 0.0776 0.5000

Output
Symmetry: Cmmm
E_form in meV/atom: -437
Crystal system: orthorhombic
D(E_F) in states/eV/f.u.: 5.9

***

(5)
A relaxed structure of Sm4CdAu5, computed with GGA-PBE.

Unit cell a=3.6394 b=3.6394 c=18.0269 alpha=90.00 beta=90.00 gamma=90.00
Positions (direct):
Sm: 0.0000 0.0000 0.1036
Sm: 0.0000 0.0000 0.3127
Sm: 0.0000 0.0000 0.6873
Sm: 0.0000 0.0000 0.8964
Cd: 0.0000 0.0000 0.5000
Au: 0.5000 0.5000 0.0000
Au: 0.5000 0.5000 0.2051
Au: 0.5000 0.5000 0.4074
Au: 0.5000 0.5000 0.5926
Au: 0.5000 0.5000 0.7949

Output
Symmetry: P4/mmm
E_form in meV/atom: -704
Crystal system: tetragonal
D(E_F) in states/eV/f.u.: 5.2

***

(6)
A relaxed structure of SmCdAu2, computed with GGA-PBE.

Unit cell a=3.6280 b=3.6280 c=6.8053 alpha=90.00 beta=90.00 gamma=90.00
Positions (direct):
Sm: 0.0000 0.0000 0.0000
Cd: 0.0000 0.0000 0.5000
Au: 0.5000 0.5000 0.2579
Au: 0.5000 0.5000 0.7421

Output
Symmetry: P4/mmm
E_form in meV/atom: -561
Crystal system: tetragonal
D(E_F) in states/eV/f.u.: 1.7

***

(7)
A relaxed structure of Sm2Cd3Au, computed with GGA-PBE.

Unit cell a=3.4730 b=4.9587 c=8.5781 alpha=90.00 beta=90.00 gamma=90.00
Positions (direct):
Sm: 0.0000 0.0000 0.0000
Sm: 0.0000 0.5000 0.4631
Cd: 0.5000 0.0000 0.6479
Cd: 0.5000 0.5000 0.1440
Cd: 0.5000 0.5000 0.8097
Au: 0.5000 0.0000 0.3151

Output
Symmetry: Pmm2
E_form in meV/atom: -454
Crystal system: orthorhombic
D(E_F) in states/eV/f.u.: 4.4

***

(8)
A relaxed structure of SmCd2Au, computed with GGA-PBE.

Unit cell a=5.0615 b=5.0615 c=5.0615 alpha=120.50 beta=120.50 gamma=89.14
Positions (direct):
Sm: 0.0000 0.0000 0.0000
Cd: 0.5000 0.5000 0.0000
Cd: 0.7500 0.2500 0.5000
Au: 0.2500 0.7500 0.5000

Output
Symmetry: I-4m2
E_form in meV/atom: -483
Crystal system: tetragonal
D(E_F) in states/eV/f.u.: 1.7

***

(9)
A relaxed structure of Sm2CdAu4, computed with GGA-PBE.

Unit cell a=9.2063 b=9.2063 c=9.2063 alpha=30.03 beta=30.03 gamma=30.03
Positions (direct):
Sm: 0.2489 0.2489 0.2489
Sm: 0.7511 0.7511 0.7511
Cd: 0.0000 0.0000 0.0000
Au: 0.1348 0.1348 0.1348
Au: 0.3664 0.3664 0.3664
Au: 0.6336 0.6336 0.6336
Au: 0.8652 0.8652 0.8652

Output
Symmetry: R-3m
E_form in meV/atom: -572
Crystal system: trigonal
D(E_F) in states/eV/f.u.: 4.6

***

(10)
A relaxed structure of Sm4Cd5Au6, computed with GGA-PBE.

Unit cell a=11.7190 b=11.7190 c=15.3251 alpha=90.00 beta=90.00 gamma=160.16
Positions (direct):
Sm: 0.0231 0.9769 0.5000
Sm: 0.0535 0.9465 0.7723
Sm: 0.1339 0.8661 0.2755
Sm: 0.1801 0.8199 0.9367
Sm: 0.8199 0.1801 0.4367
Sm: 0.8661 0.1339 0.7755
Sm: 0.9465 0.0535 0.2723
Sm: 0.9769 0.0231 0.0000
Cd: 0.1791 0.8209 0.6105
Cd: 0.3090 0.6910 0.6101
Cd: 0.3245 0.6755 0.2650
Cd: 0.3592 0.6408 0.9554
Cd: 0.4655 0.5345 0.6591
Cd: 0.5345 0.4655 0.1591
Cd: 0.6408 0.3592 0.4554
Cd: 0.6755 0.3245 0.7650
Cd: 0.6910 0.3090 0.1101
Cd: 0.8209 0.1791 0.1105
Au: 0.0999 0.9001 0.0818
Au: 0.2264 0.7736 0.4351
Au: 0.2676 0.7324 0.7846
Au: 0.4124 0.5876 0.1243
Au: 0.4224 0.5776 0.4240
Au: 0.4602 0.5398 0.8459
Au: 0.5398 0.4602 0.3459
Au: 0.5776 0.4224 0.9240
Au: 0.5876 0.4124 0.6243
Au: 0.7324 0.2676 0.2846
Au: 0.7736 0.2264 0.9351
Au: 0.9001 0.0999 0.5818

Output
Symmetry: Cmc2_1
E_form in meV/atom: -548
Crystal system: orthorhombic
D(E_F) in states/eV/f.u.: 9.0

***

(11)
A relaxed structure of Sm6Cd5Au, computed with GGA-PBE.

Unit cell a=8.4716 b=8.4716 c=7.5833 alpha=90.00 beta=90.00 gamma=143.20
Positions (direct):
Sm: 0.0000 0.0000 0.2419
Sm: 0.0000 0.0000 0.7581
Sm: 0.3382 0.6618 0.2471
Sm: 0.3382 0.6618 0.7529
Sm: 0.6618 0.3382 0.2471
Sm: 0.6618 0.3382 0.7529
Cd: 0.1708 0.8292 0.5000
Cd: 0.1746 0.8254 0.0000
Cd: 0.5000 0.5000 0.5000
Cd: 0.8254 0.1746 0.0000
Cd: 0.8292 0.1708 0.5000
Au: 0.5000 0.5000 0.0000

Output
Symmetry: Cmmm
E_form in meV/atom: -388
Crystal system: orthorhombic
D(E_F) in states/eV/f.u.: 14.0

***

(12)
A relaxed structure of SmCd6Au12, computed with GGA-PBE.

Unit cell a=7.7502 b=7.7502 c=7.7502 alpha=104.76 beta=104.76 gamma=104.76
Positions (direct):
Sm: 0.0000 0.0000 0.0000
Cd: 0.2984 0.2984 0.6914
Cd: 0.2984 0.6914 0.2984
Cd: 0.3086 0.7016 0.7016
Cd: 0.6914 0.2984 0.2984
Cd: 0.7016 0.3086 0.7016
Cd: 0.7016 0.7016 0.3086
Au: 0.0983 0.3429 0.3429
Au: 0.1126 0.5000 0.8874
Au: 0.1126 0.8874 0.5000
Au: 0.3429 0.0983 0.3429
Au: 0.3429 0.3429 0.0983
Au: 0.5000 0.1126 0.8874
Au: 0.5000 0.8874 0.1126
Au: 0.6571 0.6571 0.9017
Au: 0.6571 0.9017 0.6571
Au: 0.8874 0.1126 0.5000
Au: 0.8874 0.5000 0.1126
Au: 0.9017 0.6571 0.6571

Output
Symmetry: R-3m
E_form in meV/atom: -159
Crystal system: trigonal
D(E_F) in states/eV/f.u.: 9.2

***

(13)
A relaxed structure of Sm3Cd4Au4, computed with GGA-PBE.

Unit cell a=9.2829 b=9.2829 c=9.2829 alpha=155.04 beta=128.31 gamma=58.23
Positions (direct):
Sm: 0.0000 0.0000 0.0000
Sm: 0.3860 0.8860 0.5000
Sm: 0.6140 0.1140 0.5000
Cd: 0.0226 0.3343 0.6883
Cd: 0.3540 0.6657 0.6883
Cd: 0.6460 0.3343 0.3117
Cd: 0.9774 0.6657 0.3117
Au: 0.2446 0.2446 0.0000
Au: 0.3056 0.5000 0.8056
Au: 0.6944 0.5000 0.1944
Au: 0.7554 0.7554 0.0000

Output
Symmetry: Immm
E_form in meV/atom: -546
Crystal system: orthorhombic
D(E_F) in states/eV/f.u.: 7.2

***

(14)
A relaxed structure of Sm2Cd3Au2, computed with GGA-PBE.

Unit cell a=5.7008 b=5.7008 c=7.5566 alpha=93.94 beta=93.94 gamma=43.91
Positions (direct):
Sm: 0.1205 0.1205 0.3385
Sm: 0.8795 0.8795 0.6615
Cd: 0.1889 0.1889 0.8766
Cd: 0.5000 0.5000 0.0000
Cd: 0.8111 0.8111 0.1234
Au: 0.4024 0.4024 0.3613
Au: 0.5976 0.5976 0.6387

Output
Symmetry: C2/m
E_form in meV/atom: -502
Crystal system: monoclinic
D(E_F) in states/eV/f.u.: 4.6
Polymorph energy (0 for the lowest one) in eV per atom: 0.042

***

(15)
A relaxed structure of SmCd3Au3, computed with GGA-PBE.

Unit cell a=8.5224 b=4.8019 c=8.5484 alpha=90.00 beta=119.89 gamma=90.00
Positions (direct):
Sm: 0.1658 0.2500 0.3328
Sm: 0.8342 0.7500 0.6672
Cd: 0.2707 0.2500 0.7769
Cd: 0.2781 0.7500 0.0071
Cd: 0.4935 0.7500 0.7707
Cd: 0.5065 0.2500 0.2293
Cd: 0.7219 0.2500 0.9929
Cd: 0.7293 0.7500 0.2231
Au: 0.0362 0.2500 0.9240
Au: 0.1123 0.7500 0.5350
Au: 0.4235 0.7500 0.3880
Au: 0.5765 0.2500 0.6120
Au: 0.8877 0.2500 0.4650
Au: 0.9638 0.7500 0.0760

Output
Symmetry: P2_1/m
E_form in meV/atom: -403
Crystal system: monoclinic
D(E_F) in states/eV/f.u.: 2.4
Polymorph energy (0 for the lowest one) in eV per atom: 0.000

***

(16)
A relaxed structure of Sm4CdAu7, computed with GGA-PBE.

Unit cell a=7.7397 b=7.7397 c=9.2214 alpha=120.52 beta=120.52 gamma=39.08
Positions (direct):
Sm: 0.0615 0.0615 0.2451
Sm: 0.2330 0.2330 0.7583
Sm: 0.7670 0.7670 0.2417
Sm: 0.9385 0.9385 0.7549
Cd: 0.5000 0.5000 0.5000
Au: 0.0000 0.0000 0.5000
Au: 0.1761 0.1761 0.0518
Au: 0.3067 0.3067 0.5112
Au: 0.4126 0.4126 0.1362
Au: 0.5874 0.5874 0.8638
Au: 0.6933 0.6933 0.4888
Au: 0.8239 0.8239 0.9482

Output
Symmetry: C2/m
E_form in meV/atom: -618
Crystal system: monoclinic
D(E_F) in states/eV/f.u.: 8.4

***

(17)
A relaxed structure of Sm5CdAu4, computed with GGA-PBE.

Unit cell a=3.6927 b=3.6927 c=18.5846 alpha=90.00 beta=90.00 gamma=90.00
Positions (direct):
Sm: 0.0000 0.0000 0.0000
Sm: 0.0000 0.0000 0.1970
Sm: 0.0000 0.0000 0.3924
Sm: 0.0000 0.0000 0.6076
Sm: 0.0000 0.0000 0.8030
Cd: 0.5000 0.5000 0.5000
Au: 0.5000 0.5000 0.0982
Au: 0.5000 0.5000 0.2979
Au: 0.5000 0.5000 0.7021
Au: 0.5000 0.5000 0.9018

Output
Symmetry: P4/mmm
E_form in meV/atom: -703
Crystal system: tetragonal
D(E_F) in states/eV/f.u.: 6.2

***

(18)
A relaxed structure of SmCdAu2, computed with GGA-PBE.

Unit cell a=7.1425 b=7.1425 c=7.1425 alpha=34.30 beta=34.30 gamma=34.30
Positions (direct):
Sm: 0.0000 0.0000 0.0000
Cd: 0.8285 0.8285 0.8285
Au: 0.4203 0.4203 0.4203
Au: 0.5764 0.5764 0.5764

Output
Symmetry: R3m
E_form in meV/atom: -456
Crystal system: trigonal
D(E_F) in states/eV/f.u.: 2.4

***

(19)
A relaxed structure of SmCd3Au, computed with GGA-PBE.

Unit cell a=5.5503 b=5.9633 c=7.6032 alpha=90.00 beta=110.01 gamma=90.00
Positions (direct):
Sm: 0.2346 0.2500 0.1282
Sm: 0.7654 0.7500 0.8718
Cd: 0.1927 0.0080 0.6972
Cd: 0.1927 0.4920 0.6972
Cd: 0.3524 0.7500 0.4177
Cd: 0.6476 0.2500 0.5823
Cd: 0.8073 0.5080 0.3028
Cd: 0.8073 0.9920 0.3028
Au: 0.3370 0.7500 0.0448
Au: 0.6630 0.2500 0.9552

Output
Symmetry: P2_1/m
E_form in meV/atom: -368
Crystal system: monoclinic
D(E_F) in states/eV/f.u.: 2.0
Polymorph energy (0 for the lowest one) in eV per atom: 0.000

***

(20)
A relaxed structure of SmCd3Au2, computed with GGA-PBE.

Unit cell a=7.7585 b=7.7585 c=9.1185 alpha=118.25 beta=118.25 gamma=34.52
Positions (direct):
Sm: 0.1364 0.1364 0.0217
Sm: 0.8636 0.8636 0.9782
Cd: 0.0566 0.0566 0.3841
Cd: 0.2896 0.2896 0.4581
Cd: 0.4041 0.4041 0.2764
Cd: 0.5959 0.5959 0.7236
Cd: 0.7104 0.7104 0.5419
Cd: 0.9434 0.9434 0.6159
Au: 0.2240 0.2240 0.7659
Au: 0.4421 0.4421 0.8223
Au: 0.5579 0.5579 0.1777
Au: 0.7760 0.7760 0.2341

Output
Symmetry: C2/m
E_form in meV/atom: -391
Crystal system: monoclinic
D(E_F) in states/eV/f.u.: 3.4